CrN2ClF | PBEsol | optimized geometry

Unit cell a=3.5078 b=3.5078 c=4.7812 alpha=90.00 beta=90.00 gamma=90.00
Last column: nearest neighbours and their distance in Å.
Sites, in units of the cell vectors:
Cr: 0.0000 0.0000 0.0000  4 F 2.48
N: 0.0000 0.5000 0.5000  2 Cl 1.75
N: 0.5000 0.0000 0.5000  2 Cl 1.75
Cl: 0.5000 0.5000 0.5000  4 N 1.75
F: 0.5000 0.5000 0.0000  2 Cl 2.39, 4 Cr 2.48

Properties
uncorrected formation energy	1.57	eV per atom
DOS at the Fermi energy	0.914	states/eV per atom
energy relative to the lowest polymorph listed for this composition	1.3734	eV per atom